DyTm2Ti after structural relaxation. Source: the Alexandria database, functional GGA-PBE.

## Properties
Density: 8.50 Mg/m³
Formation energy from the elements: 0.192 eV per atom
ΔE to the lowest computed polymorph: 0.17 eV/f.u.
Calculated total energy: -20.67 eV per cell
DOS at the Fermi energy: 6.21 states/eV/f.u.

Unit cell a=4.7659 b=4.7405 c=4.7405 alpha=90.00 beta=90.00 gamma=90.00
Site moments in Bohr magnetons follow the coordinates.
Fractional coordinates of all 4 atoms:
Tm 0.0000 0.0000 0.5000  0.03
Tm 0.0000 0.5000 0.0000  0.03
Ti 0.5000 0.5000 0.5000  0.70
Dy 0.5000 0.0000 0.0000  -0.01



DyTm2Ti after structural relaxation. Source: the Alexandria database, functional GGA-PBE.

## Properties
Density: 8.50 Mg/m³
Formation energy from the elements: 0.176 eV per atom
ΔE to the lowest computed polymorph: 0.10 eV/f.u.
Calculated total energy: -20.74 eV per cell
DOS at the Fermi energy: 6.35 states/eV/f.u.

Unit cell a=3.3871 b=3.3871 c=10.9605 alpha=81.11 beta=81.11 gamma=60.00
Fractional coordinates of all 4 atoms:
Dy 0.5003 0.5003 0.4992
Tm 0.0757 0.0757 0.7729
Tm 0.2577 0.2577 0.2268
Ti 0.6663 0.6663 0.0011



DyTi2V after structural relaxation. Source: the Alexandria database, functional GGA-PBE.

## Properties
Density: 6.64 Mg/m³
Formation energy from the elements: 0.163 eV per atom
Calculated total energy: -28.86 eV per cell
DOS at the Fermi energy: 6.61 states/eV/f.u.

Unit cell a=3.3074 b=3.3074 c=7.0686 alpha=90.00 beta=90.00 gamma=90.00
Fractional coordinates of all 4 atoms:
V 0.5000 0.5000 0.0000
Ti 0.0000 0.0000 0.8090
Ti 0.0000 0.0000 0.1910
Dy 0.5000 0.5000 0.5000



DyTiV after structural relaxation. Source: the Alexandria database, functional GGA-PBE.

## Properties
Density: 6.99 Mg/m³
Formation energy from the elements: 0.205 eV per atom
Calculated total energy: -42.00 eV per cell
DOS at the Fermi energy: 4.74 states/eV/f.u.

Unit cell a=3.1327 b=3.1327 c=12.8461 alpha=97.00 beta=97.00 gamma=90.00
Fractional coordinates of all 6 atoms:
V 0.2759 0.2759 0.5518
V 0.7241 0.7241 0.4482
Ti 0.1615 0.1615 0.3230
Ti 0.8385 0.8385 0.6770
Dy 0.5682 0.5682 0.1365
Dy 0.4318 0.4318 0.8635



DyTi2W after structural relaxation. Source: the Alexandria database, functional GGA-PBE.

## Properties
Density: 9.29 Mg/m³
Formation energy from the elements: 0.121 eV per atom
Calculated total energy: -32.86 eV per cell
DOS at the Fermi energy: 5.01 states/eV/f.u.

Unit cell a=3.3066 b=3.3066 c=7.2241 alpha=90.00 beta=90.00 gamma=90.00
Fractional coordinates of all 4 atoms:
Ti 0.0000 0.0000 0.8051
Ti 0.0000 0.0000 0.1949
W 0.5000 0.5000 0.0000
Dy 0.5000 0.5000 0.5000



DyYTi after structural relaxation. Source: the Alexandria database, functional GGA-PBE.

## Properties
Density: 6.13 Mg/m³
Formation energy from the elements: 0.099 eV per atom
Calculated total energy: -37.33 eV per cell
DOS at the Fermi energy: 5.04 states/eV/f.u.

Unit cell a=3.5596 b=3.5596 c=12.8033 alpha=90.00 beta=90.00 gamma=90.00
Fractional coordinates of all 6 atoms:
Dy 0.0000 0.5000 0.5941
Dy 0.5000 0.0000 0.4059
Y 0.5000 0.0000 0.8010
Y 0.0000 0.5000 0.1990
Ti 0.0000 0.5000 0.9577
Ti 0.5000 0.0000 0.0423



Dy2TiZn after structural relaxation. Source: the Alexandria database, functional GGA-PBE.

## Properties
Density: 7.26 Mg/m³
Formation energy from the elements: 0.371 eV per atom
ΔE to the lowest computed polymorph: 1.62 eV/f.u.
Calculated total energy: -16.89 eV per cell
DOS at the Fermi energy: 6.04 states/eV/f.u.

Unit cell a=3.2773 b=3.2773 c=10.9375 alpha=81.38 beta=81.38 gamma=60.00
Site moments in Bohr magnetons follow the coordinates.
Fractional coordinates of all 4 atoms:
Zn 0.5000 0.5000 0.5000  0.02
Ti 0.0000 0.0000 0.0000  1.35
Dy 0.0926 0.0926 0.7223  0.24
Dy 0.9074 0.9074 0.2777  0.24



Dy2TiZn after structural relaxation. Source: the Alexandria database, functional GGA-PBE.

## Properties
Density: 7.73 Mg/m³
Formation energy from the elements: 0.031 eV per atom
ΔE to the lowest computed polymorph: 0.26 eV/f.u.
Calculated total energy: -18.25 eV per cell
DOS at the Fermi energy: 6.32 states/eV/f.u.

Unit cell a=3.5019 b=5.1845 c=5.1845 alpha=90.00 beta=90.00 gamma=90.00
Site moments in Bohr magnetons follow the coordinates.
Fractional coordinates of all 4 atoms:
Zn 0.5000 0.5000 0.5000  0.00
Ti 0.5000 0.0000 0.0000  1.15
Dy 0.0000 0.0000 0.5000  0.23
Dy 0.0000 0.5000 0.0000  0.23



> Which value of formation energy from the elements does entry 6 give?

0.099 eV per atom